Si2Ir2Au | PBEsol | optimized geometry

DOS at the Fermi energy: 0.93 states/eV/f.u.
formation energy (no corrections): -0.488 eV per atom
V: 15.09 Å³/atom

Unit cell a=3.652 b=3.652 c=6.218 alpha=107.08 beta=107.08 gamma=90.00
Fractional coordinates of all 5 atoms:
Si: 0.250 0.750 0.500
Si: 0.750 0.250 0.500
Ir: 0.382 0.382 0.764
Ir: 0.618 0.618 0.236
Au: 0.000 0.000 0.000